[1]
# TiHgAu2 | the Alexandria database | PBE | optimized geometry
data_TiHgAu2
_space_group_name_H-M_alt 'P 4/m m m'
_space_group_IT_number 123
_space_group_name_Hall '-P 4 2'
_cell_length_a 3.070
_cell_length_b 3.070
_cell_length_c 8.004
_cell_angle_alpha 90.00
_cell_angle_beta 90.00
_cell_angle_gamma 90.00
loop_
_atom_site_label
_atom_site_type_symbol
_atom_site_fract_x
_atom_site_fract_y
_atom_site_fract_z
_atom_site_occupancy
Ti1 Ti 0.000 0.000 0.000 1
Hg1 Hg 0.000 0.000 0.500 1
Au1 Au 0.500 0.500 0.223 1
# - magnetization (μB/atom) = 0.233
# - density of states at the Fermi level (states/eV per cell) = 2.1
# - DFT formation energy (eV per atom) = -0.22
# - VASP energy (hartree per atom) = -0.1436



[2]
# Pr2Tm3Cd2 | the Alexandria database | PBE | optimized geometry
data_Pr2Tm3Cd2
_space_group_name_H-M_alt 'C m m m'
_space_group_IT_number 65
_space_group_name_Hall '-C 2 2'
_cell_length_a 3.568
_cell_length_b 32.907
_cell_length_c 3.526
_cell_angle_alpha 90.00
_cell_angle_beta 90.00
_cell_angle_gamma 90.00
loop_
_atom_site_label
_atom_site_type_symbol
_atom_site_fract_x
_atom_site_fract_y
_atom_site_fract_z
_atom_site_occupancy
Pr1 Pr 0.000 0.201 0.000 1
Tm1 Tm 0.000 0.073 0.000 1
Tm2 Tm 0.000 0.500 0.500 1
Cd1 Cd 0.000 0.367 0.500 1
# - energy relative to the lowest polymorph listed for this composition (meV/atom) = 14
# - magnetization (μB/atom) = 0.000
# - density of states at the Fermi level (states/eV per cell) = 15.5
# - DFT formation energy (eV per atom) = -0.12
# - VASP energy (hartree per atom) = -0.1345



[3]
# CaPPt | the Alexandria database | PBE | optimized geometry
data_CaPPt
_space_group_name_H-M_alt 'P -6 m 2'
_space_group_IT_number 187
_space_group_name_Hall 'P -6 2'
_cell_length_a 4.0564
_cell_length_b 4.0564
_cell_length_c 4.2710
_cell_angle_alpha 90.00
_cell_angle_beta 90.00
_cell_angle_gamma 120.00
loop_
_atom_site_label
_atom_site_type_symbol
_atom_site_fract_x
_atom_site_fract_y
_atom_site_fract_z
_atom_site_occupancy
Ca1 Ca 0.0000 0.0000 0.0000 1
P1 P 0.6667 0.3333 0.5000 1
Pt1 Pt 0.3333 0.6667 0.5000 1
# - magnetization (μB/atom) = 0.000
# - density of states at the Fermi level (states/eV per cell) = 1.7
# - DFT formation energy (eV per atom) = -1.13
# - VASP energy (hartree per atom) = -0.2063



[4]
# Pr2Te2S | the Alexandria database | PBE | optimized geometry
data_Pr2Te2S
_space_group_name_H-M_alt 'C m c 21'
_space_group_IT_number 36
_cell_length_a 4.468
_cell_length_b 17.781
_cell_length_c 8.244
_cell_angle_alpha 90.00
_cell_angle_beta 90.00
_cell_angle_gamma 90.00
loop_
_space_group_symop_operation_xyz
'x,y,z'
'-x,-y,z+1/2'
'-x,y,z'
'x,-y,z+1/2'
'x+1/2,y+1/2,z'
'-x+1/2,-y+1/2,z+1/2'
'-x+1/2,y+1/2,z'
'x+1/2,-y+1/2,z+1/2'
loop_
_atom_site_label
_atom_site_type_symbol
_atom_site_fract_x
_atom_site_fract_y
_atom_site_fract_z
_atom_site_occupancy
Pr1 Pr 0.000 0.051 0.000 1
Pr2 Pr 0.000 0.322 0.079 1
Te1 Te 0.000 0.304 0.470 1
Te2 Te 0.000 0.447 0.805 1
S1 S 0.000 0.095 0.662 1
# - energy relative to the lowest polymorph listed for this composition (meV/atom) = 0
# - formation energy without anion corrections (eV per atom) = -1.640
# - magnetization (μB/atom) = 0.000
# - VASP energy (hartree per atom) = -0.2070



[5]
# K2ScTa | the Alexandria database | PBE | optimized geometry
data_K2ScTa
_space_group_name_H-M_alt 'P 4 m m'
_space_group_IT_number 99
_cell_length_a 3.222
_cell_length_b 3.222
_cell_length_c 12.775
_cell_angle_alpha 90.00
_cell_angle_beta 90.00
_cell_angle_gamma 90.00
loop_
_space_group_symop_operation_xyz
'x,y,z'
'-y,x,z'
'-x,-y,z'
'y,-x,z'
'-x,y,z'
'y,x,z'
'x,-y,z'
'-y,-x,z'
loop_
_atom_site_label
_atom_site_type_symbol
_atom_site_fract_x
_atom_site_fract_y
_atom_site_fract_z
_atom_site_occupancy
K1 K 0.000 0.000 0.000 1
K2 K 0.500 0.500 0.333 1
Sc1 Sc 0.000 0.000 0.608 1
Ta1 Ta 0.500 0.500 0.755 1
# - energy relative to the lowest polymorph listed for this composition (meV/atom) = 0
# - magnetization (μB/atom) = 0.000
# - density of states at the Fermi level (states/eV per cell) = 4.1
# - DFT formation energy (eV per atom) = 0.65
# - VASP energy (hartree per atom) = -0.1632



[6]
# P2AuCl | the Alexandria database | PBE | optimized geometry
data_P2AuCl
_space_group_name_H-M_alt 'I m m 2'
_space_group_IT_number 44
_cell_length_a 3.344
_cell_length_b 4.055
_cell_length_c 11.927
_cell_angle_alpha 90.00
_cell_angle_beta 90.00
_cell_angle_gamma 90.00
loop_
_space_group_symop_operation_xyz
'x,y,z'
'-x,-y,z'
'-x,y,z'
'x,-y,z'
'x+1/2,y+1/2,z+1/2'
'-x+1/2,-y+1/2,z+1/2'
'-x+1/2,y+1/2,z+1/2'
'x+1/2,-y+1/2,z+1/2'
loop_
_atom_site_label
_atom_site_type_symbol
_atom_site_fract_x
_atom_site_fract_y
_atom_site_fract_z
_atom_site_occupancy
P1 P 0.000 0.000 0.000 1
P2 P 0.000 0.500 0.368 1
Au1 Au 0.000 0.000 0.513 1
Cl1 Cl 0.000 0.500 0.750 1
# - energy relative to the lowest polymorph listed for this composition (meV/atom) = 164
# - formation energy without anion corrections (eV per atom) = 0.160
# - magnetization (μB/atom) = 0.000
# - density of states at the Fermi level (states/eV per cell) = 2.4
# - VASP energy (hartree per atom) = -0.1406



[7]
# ZrWS2 | the Alexandria database | PBE | optimized geometry
data_ZrWS2
_space_group_name_H-M_alt 'R -3 m'
_space_group_IT_number 166
_space_group_name_Hall '-R 3 2"'
_cell_length_a 3.1362
_cell_length_b 3.1362
_cell_length_c 25.5674
_cell_angle_alpha 90.00
_cell_angle_beta 90.00
_cell_angle_gamma 120.00
loop_
_atom_site_label
_atom_site_type_symbol
_atom_site_fract_x
_atom_site_fract_y
_atom_site_fract_z
_atom_site_occupancy
Zr1 Zr 0.0000 0.0000 0.0000 1
W1 W 0.0000 0.0000 0.5000 1
S1 S 0.0000 0.0000 0.1021 1
# - energy relative to the lowest polymorph listed for this composition (meV/atom) = 0
# - formation energy without anion corrections (eV per atom) = -0.387
# - magnetization (μB/atom) = 0.000
# - density of states at the Fermi level (states/eV per cell) = 7.1
# - VASP energy (hartree per atom) = -0.2876



[8]
# Ni2OsSe6 | the Alexandria database | PBE | optimized geometry
data_Ni2OsSe6
_space_group_name_H-M_alt 'P -3 1 m'
_space_group_IT_number 162
_space_group_name_Hall '-P 3 2'
_cell_length_a 6.2917
_cell_length_b 6.2917
_cell_length_c 5.1686
_cell_angle_alpha 90.00
_cell_angle_beta 90.00
_cell_angle_gamma 120.00
loop_
_atom_site_label
_atom_site_type_symbol
_atom_site_fract_x
_atom_site_fract_y
_atom_site_fract_z
_atom_site_occupancy
Ni1 Ni 0.3333 0.6667 0.0000 1
Os1 Os 0.0000 0.0000 0.0000 1
Se1 Se 0.0000 0.3407 0.2422 1
# - energy relative to the lowest polymorph listed for this composition (meV/atom) = 0
# - formation energy without anion corrections (eV per atom) = -0.161
# - magnetization (μB/atom) = 0.000
# - density of states at the Fermi level (states/eV per cell) = 7.1
# - VASP energy (hartree per atom) = -0.1844



[9]
# RbTePdO6 | the Alexandria database | PBE | optimized geometry
data_RbTePdO6
_space_group_name_H-M_alt 'P 3 1 2'
_space_group_IT_number 149
_cell_length_a 5.2665
_cell_length_b 5.2665
_cell_length_c 6.4906
_cell_angle_alpha 90.00
_cell_angle_beta 90.00
_cell_angle_gamma 120.00
loop_
_space_group_symop_operation_xyz
'x,y,z'
'-y,x-y,z'
'-x+y,-x,z'
'-y,-x,-z'
'-x+y,y,-z'
'x,x-y,-z'
loop_
_atom_site_label
_atom_site_type_symbol
_atom_site_fract_x
_atom_site_fract_y
_atom_site_fract_z
_atom_site_occupancy
Rb1 Rb 0.0000 0.0000 0.0000 1
Te1 Te 0.6667 0.3333 0.5000 1
Pd1 Pd 0.3333 0.6667 0.5000 1
O1 O 0.3818 0.0066 0.6719 1
# - formation energy without anion corrections (eV per atom) = -0.848
# - magnetization (μB/atom) = 0.107
# - density of states at the Fermi level (states/eV per cell) = 6.4
# - VASP energy (hartree per atom) = -0.1906



[10]
# AlFe3Os | the Alexandria database | PBE | optimized geometry
data_AlFe3Os
_space_group_name_H-M_alt 'P m -3 m'
_space_group_IT_number 221
_space_group_name_Hall '-P 4 2 3'
_cell_length_a 4.550
_cell_length_b 4.550
_cell_length_c 4.550
_cell_angle_alpha 90.00
_cell_angle_beta 90.00
_cell_angle_gamma 90.00
loop_
_atom_site_label
_atom_site_type_symbol
_atom_site_fract_x
_atom_site_fract_y
_atom_site_fract_z
_atom_site_occupancy
Al1 Al 0.000 0.000 0.000 1
Fe1 Fe 0.000 0.500 0.500 1
Os1 Os 0.500 0.500 0.500 1
# - energy relative to the lowest polymorph listed for this composition (meV/atom) = 0
# - magnetization (μB/atom) = 1.502
# - density of states at the Fermi level (states/eV per cell) = 8.6
# - DFT formation energy (eV per atom) = 1.39
# - VASP energy (hartree per atom) = -0.2454



[11]
# Sc4AlPbN | the Alexandria database | PBE | optimized geometry
data_Sc4AlPbN
_space_group_name_H-M_alt 'C m c m'
_space_group_IT_number 63
_space_group_name_Hall '-C 2c 2'
_cell_length_a 6.188
_cell_length_b 15.003
_cell_length_c 6.191
_cell_angle_alpha 90.00
_cell_angle_beta 90.00
_cell_angle_gamma 90.00
loop_
_atom_site_label
_atom_site_type_symbol
_atom_site_fract_x
_atom_site_fract_y
_atom_site_fract_z
_atom_site_occupancy
Sc1 Sc 0.000 0.093 0.250 1
Sc2 Sc 0.000 0.402 0.250 1
Sc3 Sc 0.250 0.250 0.000 1
Al1 Al 0.000 0.111 0.750 1
Pb1 Pb 0.000 0.397 0.750 1
N1 N 0.000 0.249 0.250 1
# - formation energy without anion corrections (eV per atom) = -0.820
# - magnetization (μB/atom) = 0.000
# - density of states at the Fermi level (states/eV per cell) = 4.8
# - VASP energy (hartree per atom) = -0.2459



[12]
# Nd6Te5Pd | the Alexandria database | PBE | optimized geometry
data_Nd6Te5Pd
_space_group_name_H-M_alt 'C 1 2/m 1'
_space_group_IT_number 12
_cell_length_a 7.754
_cell_length_b 13.388
_cell_length_c 7.729
_cell_angle_alpha 90.00
_cell_angle_beta 109.67
_cell_angle_gamma 90.00
loop_
_space_group_symop_operation_xyz
'x,y,z'
'-x,-y,-z'
'-x,y,-z'
'x,-y,z'
'x+1/2,y+1/2,z'
'-x+1/2,-y+1/2,-z'
'-x+1/2,y+1/2,-z'
'x+1/2,-y+1/2,z'
loop_
_atom_site_label
_atom_site_type_symbol
_atom_site_fract_x
_atom_site_fract_y
_atom_site_fract_z
_atom_site_occupancy
Nd1 Nd 0.233 0.158 0.234 1
Nd2 Nd 0.234 0.000 0.753 1
Te1 Te 0.000 0.177 0.500 1
Te2 Te 0.000 0.336 0.000 1
Te3 Te 0.000 0.500 0.500 1
Pd1 Pd 0.000 0.000 0.000 1
# - formation energy without anion corrections (eV per atom) = -1.323
# - magnetization (μB/atom) = 0.000
# - density of states at the Fermi level (states/eV per cell) = 11.7
# - VASP energy (hartree per atom) = -0.2002



[13]
# Ag2SnAu2 | the Alexandria database | PBE | optimized geometry
data_Ag2SnAu2
_space_group_name_H-M_alt 'P 4/m b m'
_space_group_IT_number 127
_space_group_name_Hall '-P 4 2ab'
_cell_length_a 7.505
_cell_length_b 7.505
_cell_length_c 3.576
_cell_angle_alpha 90.00
_cell_angle_beta 90.00
_cell_angle_gamma 90.00
loop_
_atom_site_label
_atom_site_type_symbol
_atom_site_fract_x
_atom_site_fract_y
_atom_site_fract_z
_atom_site_occupancy
Ag1 Ag 0.158 0.342 0.000 1
Sn1 Sn 0.000 0.000 0.500 1
Au1 Au 0.139 0.639 0.500 1
# - energy relative to the lowest polymorph listed for this composition (meV/atom) = 0
# - magnetization (μB/atom) = 0.000
# - density of states at the Fermi level (states/eV per cell) = 3.2
# - DFT formation energy (eV per atom) = -0.01
# - VASP energy (hartree per atom) = -0.1200



[14]
# Pd4RhPb10 | the Alexandria database | PBE | optimized geometry
data_Pd4RhPb10
_space_group_name_H-M_alt 'R -3 m'
_space_group_IT_number 166
_space_group_name_Hall '-R 3 2"'
_cell_length_a 4.7366
_cell_length_b 4.7366
_cell_length_c 59.9913
_cell_angle_alpha 90.00
_cell_angle_beta 90.00
_cell_angle_gamma 120.00
loop_
_atom_site_label
_atom_site_type_symbol
_atom_site_fract_x
_atom_site_fract_y
_atom_site_fract_z
_atom_site_occupancy
Pd1 Pd 0.0000 0.0000 0.1006 1
Pd2 Pd 0.0000 0.0000 0.2996 1
Rh1 Rh 0.0000 0.0000 0.5000 1
Pb1 Pb 0.0000 0.0000 0.0508 1
Pb2 Pb 0.0000 0.0000 0.1505 1
Pb3 Pb 0.0000 0.0000 0.2497 1
Pb4 Pb 0.0000 0.0000 0.3495 1
Pb5 Pb 0.0000 0.0000 0.4518 1
# - magnetization (μB/atom) = 0.000
# - density of states at the Fermi level (states/eV per cell) = 19.2
# - DFT formation energy (eV per atom) = -0.15
# - VASP energy (hartree per atom) = -0.1653



[15]
# TbYTm3 | the Alexandria database | PBE | optimized geometry
data_TbYTm3
_space_group_name_H-M_alt 'P -1'
_space_group_IT_number 2
_cell_length_a 6.223
_cell_length_b 6.640
_cell_length_c 9.106
_cell_angle_alpha 72.37
_cell_angle_beta 89.99
_cell_angle_gamma 62.13
loop_
_space_group_symop_operation_xyz
'x,y,z'
'-x,-y,-z'
loop_
_atom_site_label
_atom_site_type_symbol
_atom_site_fract_x
_atom_site_fract_y
_atom_site_fract_z
_atom_site_occupancy
Tb1 Tb 0.135 0.399 0.350 1
Y1 Y 0.466 0.399 0.850 1
Tm1 Tm 0.067 0.200 0.050 1
Tm2 Tm 0.265 0.800 0.450 1
Tm3 Tm 0.331 0.001 0.749 1
# - energy relative to the lowest polymorph listed for this composition (meV/atom) = 0
# - magnetization (μB/atom) = 0.000
# - density of states at the Fermi level (states/eV per cell) = 17.8
# - DFT formation energy (eV per atom) = 0.00
# - VASP energy (hartree per atom) = -0.1801



[16]
# CsSnTe2 | the Alexandria database | PBE | optimized geometry
data_CsSnTe2
_space_group_name_H-M_alt 'R -3 m'
_space_group_IT_number 166
_space_group_name_Hall '-R 3 2"'
_cell_length_a 6.2666
_cell_length_b 6.2666
_cell_length_c 25.8144
_cell_angle_alpha 90.00
_cell_angle_beta 90.00
_cell_angle_gamma 120.00
loop_
_atom_site_label
_atom_site_type_symbol
_atom_site_fract_x
_atom_site_fract_y
_atom_site_fract_z
_atom_site_occupancy
Cs1 Cs 0.0000 0.0000 0.0000 1
Sn1 Sn 0.0000 0.0000 0.5000 1
Te1 Te 0.0000 0.0000 0.3944 1
# - formation energy without anion corrections (eV per atom) = -0.115
# - magnetization (μB/atom) = 0.227
# - density of states at the Fermi level (states/eV per cell) = 7.1
# - VASP energy (hartree per atom) = -0.1066